No. 1
Ti2ZnHAu: optimized geometry, GGA-PBE.

```
5
Lattice="3.973 0.000 0.000 0.000 3.973 0.000 0.000 0.000 4.199" Properties=species:S:1:pos:R:3 pbc="T T T"
H 0.000 0.000 0.000
Zn 0.000 0.000 2.100
Au 1.987 1.987 2.100
Ti 0.000 1.987 0.000
Ti 1.987 0.000 0.000
```

Computed properties:
The value obtained for the calculated volume is 66.3 Å³/cell. For the energy above the most stable polymorph in this dataset, the calculation gives 0.000 eV per atom. Its total energy is -5.0412 eV per atom.

=====

No. 2
RbLiAgCl6: optimized geometry, GGA-PBE.

```
9
Lattice="-5.971 1.012 3.025 -4.747 -4.241 -0.360 2.236 -3.292 6.279" Properties=species:S:1:pos:R:3 pbc="T T T"
Rb -4.729 -4.196 -0.341
Li -5.978 -3.668 4.970
Ag -2.453 -2.717 4.029
Cl -1.256 -2.567 1.662
Cl -0.673 -1.918 5.401
Cl -3.846 -3.395 6.190
Cl -1.466 -4.903 4.078
Cl -4.474 -3.313 2.882
Cl -3.082 -0.421 3.879
```

Computed properties:
The value obtained for the calculated volume is 271.4 Å³/cell. For the energy relative to the elements, uncorrected, the calculation gives -0.84 eV per atom. Its total energy is -2.7080 eV per atom.

=====

No. 3
NaGeOF2: optimized geometry, GGA-PBE.

```
5
Lattice="4.036 0.000 0.000 0.000 4.036 0.000 0.000 0.000 4.262" Properties=species:S:1:pos:R:3 pbc="T T T"
Na 0.000 0.000 0.000
Ge 2.018 2.018 2.131
O 0.000 0.000 2.131
F 0.000 2.018 0.000
F 2.018 0.000 0.000
```

Computed properties:
The value obtained for the calculated volume is 69.4 Å³/cell. For the energy relative to the elements, uncorrected, the calculation gives -1.02 eV per atom. For the energy above the most stable polymorph in this dataset, the calculation gives 0.916 eV per atom. Its total energy is -3.9431 eV per atom.

=====

No. 4
CsMgN2: optimized geometry, GGA-PBE.

```
8
Lattice="4.955 0.000 0.000 0.000 4.955 0.000 2.478 2.478 6.606" Properties=species:S:1:pos:R:3 pbc="T T T"
Cs 0.000 0.000 0.000
Cs 4.955 2.478 3.303
Mg 2.478 2.478 0.000
Mg 2.478 4.955 3.303
N 2.484 1.239 1.652
N 2.472 3.717 1.652
N 3.717 4.949 4.955
N 6.194 4.961 4.955
```

Computed properties:
The value obtained for the calculated volume is 162.2 Å³/cell. For the energy relative to the elements, uncorrected, the calculation gives 0.74 eV per atom. For the energy above the most stable polymorph in this dataset, the calculation gives 0.000 eV per atom. Its total energy is -4.0395 eV per atom.

=====

No. 5
LuMgZnOs: optimized geometry, GGA-PBE.

```
4
Lattice="-4.576 0.713 0.600 -2.114 -1.533 3.872 -1.487 3.047 3.211" Properties=species:S:1:pos:R:3 pbc="T T T"
Zn -6.133 1.670 5.762
Lu -4.089 1.114 3.841
Os -2.044 0.557 1.921
Mg 0.000 0.000 0.000
```

Computed properties:
The value obtained for the calculated volume is 72.0 Å³/cell. Its total energy is -4.7359 eV per atom. The calculation puts the formation energy at -0.08 eV per atom.

=====

No. 6
PmGaHg2: optimized geometry, GGA-PBE.

```
4
Lattice="-0.006 2.274 -4.309 -4.358 -0.755 -0.393 -0.851 3.854 2.035" Properties=species:S:1:pos:R:3 pbc="T T T"
Hg -0.426 1.927 1.018
Hg -2.179 -0.378 -0.196
Ga -0.003 1.137 -2.154
Pm -2.608 2.686 -1.333
```

Computed properties:
The value obtained for the calculated volume is 96.1 Å³/cell. Its total energy is -2.4750 eV per atom. The calculation puts the formation energy at -0.38 eV per atom.

=====

No. 7
AcAg2RuO6: optimized geometry, GGA-PBE.

```
20
Lattice="5.815 0.000 -0.058 0.000 5.822 0.000 -0.032 0.000 8.413" Properties=species:S:1:pos:R:3 pbc="T T T"
Ac 2.907 0.000 -0.029
Ac -0.016 2.911 4.207
Ag 5.754 5.694 2.125
Ag 2.830 3.039 6.361
Ag 0.029 0.128 6.230
Ag 2.952 2.783 1.994
Ru 2.891 0.000 4.178
Ru 0.000 2.911 0.000
O 1.721 3.706 0.271
O 4.612 5.027 4.449
O 4.061 2.116 8.084
O 1.170 0.795 3.906
O 2.155 4.164 3.566
O 5.046 4.570 7.744
O 3.628 1.659 4.789
O 0.737 1.253 0.612
O 5.275 3.426 1.755
O 2.351 5.307 5.991
O 0.507 2.396 6.600
O 3.431 0.515 2.364
```

Computed properties:
The value obtained for the calculated volume is 284.8 Å³/cell. For the energy relative to the elements, uncorrected, the calculation gives -1.13 eV per atom. Its total energy is -6.0127 eV per atom.

=====

No. 8
Y2ReRu: optimized geometry, GGA-PBE.

```
8
Lattice="-0.017 3.668 -6.712 0.741 -6.680 -3.652 -2.527 -1.755 -5.311" Properties=species:S:1:pos:R:3 pbc="T T T"
Y -0.549 0.959 -5.871
Y -0.171 -4.096 -4.558
Y -1.611 -2.554 -7.929
Y -1.273 -3.844 -12.993
Re 0.000 0.000 0.000
Re -1.091 0.203 -8.603
Ru 0.362 -1.506 -5.182
Ru -0.712 -4.971 -7.073
```

Computed properties:
The value obtained for the calculated volume is 169.8 Å³/cell. For the energy above the most stable polymorph in this dataset, the calculation gives 0.693 eV per atom. Its total energy is -8.0110 eV per atom. The calculation puts the formation energy at 0.65 eV per atom.